No. 1
DFT (PBE-GGA) results for a geometry-optimized La4FeMo structure.

Lattice parameters (Å, degrees): 6.2434 6.2434 6.2434 60.00 60.00 60.00
Last column: nearest neighbours and their distance in Å.
Atoms (fractional coordinates):
1 La 0.8755 0.3748 0.3748  6 La 3.12-3.13
2 La 0.3748 0.3748 0.8755  6 La 3.12-3.13
3 La 0.3748 0.8755 0.3748  6 La 3.12-3.13
4 La 0.3748 0.3748 0.3748  6 La 3.12-3.13
5 Fe 0.0000 0.0000 0.0000  12 La 3.66, 4 Mo 3.82
6 Mo 0.7500 0.7500 0.7500  12 La 3.66, 4 Fe 3.82

Summary:
Formation enthalpy at 0 K (kcal/mol of atoms): 26.10

No. 2
DFT (PBE-GGA) results for a geometry-optimized LaFe2Mo structure.

Lattice parameters (Å, degrees): 3.0265 3.0233 7.8465 67.29 90.00 90.00
Last column: nearest neighbours and their distance in Å.
Atoms (fractional coordinates):
1 Fe 0.0000 0.0643 0.9359  4 Mo 2.53, 1 Fe 2.69
2 Fe 0.0000 0.4357 0.5641  4 Mo 2.53, 1 Fe 2.69
3 La 0.5000 0.2500 0.2500  4 La 3.02-3.03, 8 Fe 3.12
4 Mo 0.5000 0.7500 0.7500  8 Fe 2.53

Summary:
Formation enthalpy at 0 K (kcal/mol of atoms): 6.57

No. 3
DFT (PBE-GGA) results for a geometry-optimized LaFe2Mo structure.

Lattice parameters (Å, degrees): 3.0195 3.0195 7.5993 90.00 90.00 90.00
Last column: nearest neighbours and their distance in Å.
Atoms (fractional coordinates):
1 Fe 0.0000 0.0000 0.0102  4 Fe 2.50, 4 Mo 2.58
2 Fe 0.5000 0.5000 0.1816  4 Fe 2.50, 1 Mo 2.75
3 La 0.0000 0.0000 0.4879  4 La 3.02, 4 Fe 3.16, 4 Mo 3.31
4 Mo 0.5000 0.5000 0.8203  5 Fe 2.58-2.75

Summary:
Formation enthalpy at 0 K (kcal/mol of atoms): 8.27

No. 4
DFT (PBE-GGA) results for a geometry-optimized LaFe2Mo structure.

Lattice parameters (Å, degrees): 4.5182 4.5182 4.5182 119.98 119.98 90.04
Last column: nearest neighbours and their distance in Å.
Atoms (fractional coordinates):
1 Fe 0.0000 0.0000 0.0000  4 Fe 2.77, 4 Mo 2.77
2 Fe 0.2500 0.7500 0.5000  4 La 2.77, 4 Fe 2.77
3 La 0.5000 0.5000 0.0000  4 Mo 2.77, 4 Fe 2.77
4 Mo 0.7500 0.2500 0.5000  4 La 2.77, 4 Fe 2.77

Summary:
Formation enthalpy at 0 K (kcal/mol of atoms): 13.28

No. 5
DFT (PBE-GGA) results for a geometry-optimized La2Fe2Mo structure.

Lattice parameters (Å, degrees): 6.4311 6.4311 4.9299 90.00 90.00 90.00
Last column: nearest neighbours and their distance in Å.
Atoms (fractional coordinates):
1 Mo 0.0000 0.0000 0.0000  4 Fe 2.53
2 Mo 0.5000 0.5000 0.0000  4 Fe 2.53
3 Fe 0.3713 0.8713 0.0000  1 Fe 2.34, 2 Mo 2.53
4 Fe 0.8713 0.6287 0.0000  1 Fe 2.34, 2 Mo 2.53
5 Fe 0.6287 0.1287 0.0000  1 Fe 2.34, 2 Mo 2.53
6 Fe 0.1287 0.3713 0.0000  1 Fe 2.34, 2 Mo 2.53
7 La 0.1804 0.6804 0.5000  6 Fe 3.01-3.18, 5 La 3.28-3.34
8 La 0.6804 0.8196 0.5000  6 Fe 3.01-3.18, 5 La 3.28-3.34
9 La 0.8196 0.3196 0.5000  6 Fe 3.01-3.18, 5 La 3.28-3.34
10 La 0.3196 0.1804 0.5000  6 Fe 3.01-3.18, 5 La 3.28-3.34

Summary:
Formation enthalpy at 0 K (kcal/mol of atoms): 8.21

No. 6
DFT (PBE-GGA) results for a geometry-optimized LaFe2Mo structure.

Lattice parameters (Å, degrees): 4.6879 4.6879 3.0754 90.00 90.00 90.00
Last column: nearest neighbours and their distance in Å.
Atoms (fractional coordinates):
1 Fe 0.0000 0.0000 0.0000  4 La 2.80, 4 Mo 2.80, 2 Fe 3.08
2 Fe 0.5000 0.5000 0.0000  4 La 2.80, 4 Mo 2.80, 2 Fe 3.08
3 La 0.5000 0.0000 0.5000  8 Fe 2.80, 2 La 3.08
4 Mo 0.0000 0.5000 0.5000  8 Fe 2.80, 2 Mo 3.08

Summary:
Formation enthalpy at 0 K (kcal/mol of atoms): 13.24

No. 7
DFT (PBE-GGA) results for a geometry-optimized LaFe2Mo structure.

Lattice parameters (Å, degrees): 6.9400 6.9400 5.7624 52.97 52.97 90.00
Last column: nearest neighbours and their distance in Å.
Atoms (fractional coordinates):
1 Mo 0.5000 0.5000 0.0000  4 Fe 2.34
2 Mo 0.2500 0.7500 0.5000  4 Fe 2.34
3 Fe 0.5734 0.1250 0.2500  2 Mo 2.34
4 Fe 0.1766 0.6250 0.2500  2 Mo 2.34
5 Fe 0.3750 0.4266 0.7500  2 Mo 2.34
6 Fe 0.8750 0.8234 0.7500  2 Mo 2.34
7 La 0.0000 0.0000 0.0000  4 Fe 2.82, 2 Mo 3.02
8 La 0.7500 0.2500 0.5000  4 Fe 2.82, 2 Mo 3.02

Summary:
Formation enthalpy at 0 K (kcal/mol of atoms): 16.52

No. 8
DFT (PBE-GGA) results for a geometry-optimized LaFe2Mo structure.

Lattice parameters (Å, degrees): 4.0763 3.2808 5.7915 73.56 90.00 90.00
Last column: nearest neighbours and their distance in Å.
Atoms (fractional coordinates):
1 Fe 0.0000 0.2061 0.9624  2 Fe 2.43, 4 Mo 2.64
2 Fe 0.5000 0.0878 0.1996  2 Mo 2.36, 2 Fe 2.43
3 La 0.0000 0.4655 0.4447  7 Fe 2.88-3.14
4 Mo 0.5000 0.7407 0.8933  6 Fe 2.36-2.64

Summary:
Formation enthalpy at 0 K (kcal/mol of atoms): 9.83

No. 9
DFT (PBE-GGA) results for a geometry-optimized LaFe2Mo structure.

Lattice parameters (Å, degrees): 5.6750 5.6750 5.6750 148.89 133.34 57.15
Last column: nearest neighbours and their distance in Å.
Atoms (fractional coordinates):
1 Fe 0.9714 0.9714 0.0000  2 Fe 2.40
2 Fe 0.7858 0.2858 0.5000  2 Fe 2.40
3 La 0.5144 0.5144 0.0000  4 Fe 2.75, 2 La 3.04
4 Mo 0.2285 0.7285 0.5000  6 Fe 2.77-2.98, 2 Mo 3.04, 2 La 3.10

Summary:
Formation enthalpy at 0 K (kcal/mol of atoms): 13.11

No. 10
DFT (PBE-GGA) results for a geometry-optimized LaFe2Mo structure.

Lattice parameters (Å, degrees): 4.1752 4.1752 5.8115 68.95 68.95 60.03
Last column: nearest neighbours and their distance in Å.
Atoms (fractional coordinates):
1 Fe 0.9433 0.9433 0.1700  3 Mo 2.45, 3 Fe 2.55-2.56
2 Fe 0.5567 0.5567 0.3300  3 Mo 2.45, 3 Fe 2.55-2.56
3 La 0.7500 0.7500 0.7500  8 Fe 3.07-3.28
4 Mo 0.2500 0.2500 0.2500  6 Fe 2.45

Summary:
Formation enthalpy at 0 K (kcal/mol of atoms): 5.12

No. 11
DFT (PBE-GGA) results for a geometry-optimized LaFe2Mo structure.

Lattice parameters (Å, degrees): 4.1315 4.1315 5.8781 69.37 69.37 60.03
Last column: nearest neighbours and their distance in Å.
Atoms (fractional coordinates):
1 Fe 0.0118 0.0118 0.9646  3 Fe 2.39, 3 Mo 2.48
2 Fe 0.6912 0.6912 0.9266  3 Fe 2.39, 3 Mo 2.55
3 La 0.4950 0.4950 0.5148  4 Mo 3.11-3.29, 7 Fe 3.16-3.40
4 Mo 0.3020 0.3020 0.0939  6 Fe 2.48-2.55

Summary:
Formation enthalpy at 0 K (kcal/mol of atoms): 6.67

No. 12
DFT (PBE-GGA) results for a geometry-optimized La2FeMoN structure.

Lattice parameters (Å, degrees): 5.3085 3.5656 5.3085 90.00 90.00 90.00
Last column: nearest neighbours and their distance in Å.
Atoms (fractional coordinates):
1 Mo 0.5000 0.5000 0.5000  8 La 3.20, 2 Mo 3.57
2 N 0.0000 0.0000 0.0000  2 Fe 1.78
3 Fe 0.0000 0.5000 0.0000  2 N 1.78
4 La 0.0000 0.0000 0.5000  2 N 2.65
5 La 0.5000 0.0000 0.0000  2 N 2.65

Summary:
E (eV per atom): -7.587

Number 1: ρ 6.83 g/cm³. Number 2: ρ 8.69 g/cm³. Number 3: ρ 8.31 g/cm³. Number 4: ρ 8.82 g/cm³. Number 5: ρ 7.91 g/cm³. Number 6: ρ 8.51 g/cm³. Number 7: ρ 7.91 g/cm³. Number 8: ρ 7.75 g/cm³. Number 9: ρ 8.44 g/cm³. Number 10: ρ 7.21 g/cm³. Number 11: ρ 7.25 g/cm³. Number 12: ρ 7.33 g/cm³.